1.
Entry from Alexandria: CaMg2SnTe after structural relaxation (PBE-GGA).

The formation energy without anion corrections is 484 meV per atom.

The structure belongs to space group P4/mmm (No. 123); the cell edges are 5.884, 5.884 and 5.631 Å and the angles 90.00°, 90.00° and 90.00°. The asymmetric unit holds Ca at (0.000, 0.000, 0.000), Mg at (0.000, 0.500, 0.000), Sn at (0.500, 0.500, 0.500) and Te at (0.000, 0.000, 0.500).

=====

2.
Entry from Alexandria: Ca2Mg5Tl2Sn3 after structural relaxation (PBE-GGA).

The calculation puts the formation energy at -0.07 eV per atom.

The structure belongs to space group I4/mmm (No. 139); the cell edges are 4.334, 4.334 and 35.491 Å and the angles 90.00°, 90.00° and 90.00°. The asymmetric unit holds Ca at (0.000, 0.000, 0.220), Mg at (0.000, 0.000, 0.000), Mg at (0.000, 0.500, 0.066), Tl at (0.000, 0.000, 0.131), Sn at (0.000, 0.000, 0.320) and Sn at (0.000, 0.000, 0.500).

=====

3.
Entry from Alexandria: CaMgTlSn after structural relaxation (PBE-GGA).

The calculation puts the formation energy at -0.31 eV per atom.

The structure belongs to space group F-43m (No. 216); the cell edges are 7.526, 7.526 and 7.526 Å and the angles 90.00°, 90.00° and 90.00°. The asymmetric unit holds Ca at (0.000, 0.000, 0.000), Mg at (0.000, 0.000, 0.500), Tl at (0.250, 0.250, 0.750) and Sn at (0.250, 0.250, 0.250).

=====

4.
Entry from Alexandria: CaTmMgSn after structural relaxation (PBE-GGA).

The calculation puts the formation energy at -0.34 eV per atom.

The structure belongs to space group F-43m (No. 216); the cell edges are 7.554, 7.554 and 7.554 Å and the angles 90.00°, 90.00° and 90.00°. The asymmetric unit holds Ca at (0.000, 0.000, 0.000), Tm at (0.000, 0.000, 0.500), Mg at (0.250, 0.250, 0.250) and Sn at (0.250, 0.250, 0.750).

=====

5.
Entry from Alexandria: Ca2MgZn3Sn4 after structural relaxation (PBE-GGA).

The calculation puts the formation energy at -0.30 eV per atom.

The structure belongs to space group P-4m2 (No. 115); the cell edges are 4.597, 4.597 and 11.749 Å and the angles 90.00°, 90.00° and 90.00°. The asymmetric unit holds Ca at (0.000, 0.500, 0.242), Mg at (0.000, 0.000, 0.500), Zn at (0.000, 0.500, 0.864), Zn at (0.500, 0.500, 0.500), Sn at (0.000, 0.000, 0.000), Sn at (0.000, 0.500, 0.643) and Sn at (0.500, 0.500, 0.000).

=====

6.
Entry from Alexandria: CaMgZnSn after structural relaxation (PBE-GGA).

The calculation puts the formation energy at -0.32 eV per atom.

The structure belongs to space group F-43m (No. 216); the cell edges are 7.245, 7.245 and 7.245 Å and the angles 90.00°, 90.00° and 90.00°. The asymmetric unit holds Ca at (0.000, 0.000, 0.000), Mg at (0.000, 0.000, 0.500), Zn at (0.250, 0.250, 0.250) and Sn at (0.250, 0.250, 0.750).

=====

Uncorrected energy values, unit eV per formula unit, following the record order: -9.9, -29.5, -11.2, -13.5, -28.5, -10.2.
Theoretical density values, unit g/cm³, following the record order: 2.9, 4.8, 6.0, 5.4, 5.2, 4.3.